VASP calculation (PBE-GGA) on a relaxed BeAlCu2 crystal.

Cell and atoms, written as POSCAR:
```
BeAlCu2
1.0
-0.719 2.217 -1.513
-2.199 0.410 1.647
3.301 3.485 3.539
Cu Al Be
2 1 1
Direct
0.000 0.000 0.966 Cu
0.000 0.000 0.534 Cu
0.500 0.500 0.250 Al
0.500 0.500 0.750 Be
```

Summary:
* DFT formation energy: -159.2 meV per atom
* SG: P4/mmm

---

VASP calculation (PBE-GGA) on a relaxed Be4AlCu crystal.

Cell and atoms, written as POSCAR:
```
Be4AlCu
1.0
-2.731 0.664 3.299
0.726 -1.895 3.829
1.245 2.386 3.397
Al Be Cu
1 4 1
Direct
0.000 0.000 0.000 Al
0.625 0.625 0.125 Be
0.125 0.625 0.625 Be
0.625 0.625 0.625 Be
0.625 0.125 0.625 Be
0.250 0.250 0.250 Cu
```

Summary:
* DFT formation energy: -78.6 meV per atom
* SG: F-43m

---

VASP calculation (PBE-GGA) on a relaxed Be2Al2Cu7 crystal.

Cell and atoms, written as POSCAR:
```
Be2Al2Cu7
1.0
5.657 0.064 -0.410
0.124 4.341 -0.113
-0.762 -0.068 5.621
Al Be Cu
2 2 7
Direct
0.188 0.500 0.188 Al
0.812 0.500 0.812 Al
0.794 0.746 0.206 Be
0.206 0.254 0.794 Be
0.444 0.252 0.556 Cu
0.432 0.754 0.903 Cu
0.000 0.000 0.000 Cu
0.556 0.748 0.444 Cu
0.097 0.754 0.568 Cu
0.903 0.246 0.432 Cu
0.568 0.246 0.097 Cu
```

Summary:
* DFT formation energy: 33.6 meV per atom
* SG: C2/m

---

Question: The highest DFT formation energy belongs to which entry?
Answer: Be2Al2Cu7

---

Question: Which value of DFT formation energy does entry 2 give?
Answer: -78.6 meV per atom